(1)
# SiPdPb3, relaxed, DFT PBE
# Total magnetization: 0.00 μB per formula unit
# Polymorph energy (0 for the lowest one): 0 meV per atom
# Formation energy from raw total energies: 0.45 eV/atom
data_SiPdPb3
_chemical_formula_sum 'Si1 Pd1 Pb3'
_cell_length_a 5.329
_cell_length_b 5.329
_cell_length_c 5.329
_cell_angle_alpha 90.00
_cell_angle_beta 90.00
_cell_angle_gamma 90.00
_space_group_name_H-M_alt 'P m -3 m'
_space_group_IT_number 221
_space_group_name_Hall '-P 4 2 3'
loop_
_atom_site_label
_atom_site_fract_x
_atom_site_fract_y
_atom_site_fract_z
Si1 0.000 0.000 0.000
Pd1 0.500 0.500 0.500
Pb1 0.000 0.500 0.500

(2)
# SiPdPb, relaxed, DFT PBE
# Total magnetization: 0.00 μB per formula unit
# Formation energy from raw total energies: -0.02 eV/atom
data_SiPdPb
_chemical_formula_sum 'Si4 Pd4 Pb4'
_cell_length_a 5.140
_cell_length_b 5.917
_cell_length_c 7.662
_cell_angle_alpha 90.00
_cell_angle_beta 90.00
_cell_angle_gamma 90.00
_space_group_name_H-M_alt 'I m m a'
_space_group_IT_number 74
_space_group_name_Hall '-I 2b 2'
loop_
_atom_site_label
_atom_site_fract_x
_atom_site_fract_y
_atom_site_fract_z
Si1 0.250 0.250 0.250
Pd1 0.000 0.000 0.000
Pb1 0.000 0.250 0.620

(3)
# SiPd2Pb, relaxed, DFT PBE
# Total magnetization: 0.00 μB per formula unit
# Polymorph energy (0 for the lowest one): 283 meV per atom
# Formation energy from raw total energies: -0.05 eV/atom
data_SiPd2Pb
_chemical_formula_sum 'Si4 Pd8 Pb4'
_cell_length_a 6.595
_cell_length_b 6.595
_cell_length_c 6.595
_cell_angle_alpha 90.00
_cell_angle_beta 90.00
_cell_angle_gamma 90.00
_space_group_name_H-M_alt 'F m -3 m'
_space_group_IT_number 225
_space_group_name_Hall '-F 4 2 3'
loop_
_atom_site_label
_atom_site_fract_x
_atom_site_fract_y
_atom_site_fract_z
Si1 0.000 0.000 0.000
Pd1 0.250 0.250 0.250
Pb1 0.000 0.000 0.500

(4)
# Si2Pd2Pb, relaxed, DFT PBE
# Total magnetization: 0.00 μB per formula unit
# Formation energy from raw total energies: -0.08 eV/atom
data_Si2Pd2Pb
_chemical_formula_sum 'Si4 Pd4 Pb2'
_cell_length_a 7.756
_cell_length_b 7.756
_cell_length_c 2.950
_cell_angle_alpha 90.00
_cell_angle_beta 90.00
_cell_angle_gamma 90.00
_space_group_name_H-M_alt 'P 4/m b m'
_space_group_IT_number 127
_space_group_name_Hall '-P 4 2ab'
loop_
_atom_site_label
_atom_site_fract_x
_atom_site_fract_y
_atom_site_fract_z
Si1 0.145 0.355 0.000
Pd1 0.133 0.633 0.500
Pb1 0.000 0.000 0.500

total magnetization of number 3 (SiPd2Pb)? 0.00 μB per formula unit